[1]
The following is a SCAN calculation of a PBEsol-optimized structure of HfBe2Ir, from Alexandria.

Results
VASP energy: -36.2837 eV per atom

abc: 5.812 5.812 5.812
angles: 90.00 90.00 90.00
Atoms (fractional coordinates):
Hf  0.000  0.000  0.000
Hf  0.000  0.500  0.500
Hf  0.500  0.000  0.500
Hf  0.500  0.500  0.000
Be  0.250  0.250  0.250
Be  0.250  0.250  0.750
Be  0.250  0.750  0.250
Be  0.250  0.750  0.750
Be  0.750  0.250  0.250
Be  0.750  0.250  0.750
Be  0.750  0.750  0.250
Be  0.750  0.750  0.750
Ir  0.000  0.000  0.500
Ir  0.000  0.500  0.000
Ir  0.500  0.000  0.000
Ir  0.500  0.500  0.500


[2]
The following is a SCAN calculation of a PBEsol-optimized structure of Hf2BeIr, from Alexandria.

Results
VASP energy: -50.1513 eV per atom

abc: 7.166 7.166 5.434
angles: 90.00 90.00 90.00
Atoms (fractional coordinates):
Hf  0.239  0.250  0.125
Hf  0.250  0.739  0.375
Hf  0.250  0.761  0.875
Hf  0.261  0.250  0.625
Hf  0.739  0.750  0.625
Hf  0.750  0.239  0.875
Hf  0.750  0.261  0.375
Hf  0.761  0.750  0.125
Be  0.000  0.000  0.500
Be  0.000  0.500  0.750
Be  0.500  0.000  0.250
Be  0.500  0.500  0.000
Ir  0.000  0.000  0.000
Ir  0.000  0.500  0.250
Ir  0.500  0.000  0.750
Ir  0.500  0.500  0.500


[3]
The following is a SCAN calculation of a PBEsol-optimized structure of HfBe3Ir, from Alexandria.

Results
VASP energy: -29.4567 eV per atom

abc: 4.099 4.099 4.099
angles: 90.00 90.00 90.00
Atoms (fractional coordinates):
Hf  0.000  0.000  0.000
Be  0.000  0.500  0.500
Be  0.500  0.000  0.500
Be  0.500  0.500  0.000
Ir  0.500  0.500  0.500


[4]
The following is a SCAN calculation of a PBEsol-optimized structure of HfBe2Ir2, from Alexandria.

Results
VASP energy: -43.5691 eV per atom

abc: 6.691 6.691 2.818
angles: 90.00 90.00 90.00
Atoms (fractional coordinates):
Hf  0.000  0.000  0.000
Hf  0.500  0.500  0.000
Be  0.116  0.384  0.000
Be  0.384  0.884  0.000
Be  0.616  0.116  0.000
Be  0.884  0.616  0.000
Ir  0.173  0.673  0.500
Ir  0.327  0.173  0.500
Ir  0.673  0.827  0.500
Ir  0.827  0.327  0.500


[5]
The following is a SCAN calculation of a PBEsol-optimized structure of Na2HfBeIr, from Alexandria.

Results
VASP energy: -27.7941 eV per atom

abc: 5.864 5.864 4.654
angles: 90.00 90.00 90.00
Atoms (fractional coordinates):
Na  0.000  0.500  0.000
Na  0.500  0.000  0.000
Hf  0.000  0.000  0.000
Be  0.500  0.500  0.500
Ir  0.000  0.000  0.500


[6]
The following is a SCAN calculation of a PBEsol-optimized structure of KHf2Be2, from Alexandria.

Results
VASP energy: -27.4814 eV per atom

abc: 4.582 4.582 10.647
angles: 90.00 90.00 90.00
Atoms (fractional coordinates):
K  0.000  0.000  0.000
K  0.500  0.500  0.500
Hf  0.000  0.000  0.340
Hf  0.000  0.000  0.660
Hf  0.500  0.500  0.160
Hf  0.500  0.500  0.840
Be  0.000  0.500  0.250
Be  0.000  0.500  0.750
Be  0.500  0.000  0.250
Be  0.500  0.000  0.750


no.,spin magnetization (μB per cell)
1,0.00
2,0.00
3,0.00
4,0.00
5,0.00
6,2.68